# DyGa5CoNi2

DyGa5CoNi2 after structural relaxation (PBE, Alexandria).

a b c (Å): 4.580 4.580 6.988
angles (deg): 90.00 90.00 90.00
Fractional coordinates of all 9 atoms:
Dy (0.000, 0.000, 0.000)
Ga (0.000, 0.500, 0.310)
Ga (0.000, 0.500, 0.690)
Ga (0.500, 0.000, 0.310)
Ga (0.500, 0.000, 0.690)
Ga (0.500, 0.500, 0.000)
Co (0.000, 0.000, 0.500)
Ni (0.500, 0.500, 0.326)
Ni (0.500, 0.500, 0.674)

* E_tot: -4.448 eV per atom
* formation energy: -1.63 eV per formula unit
* symmetry: P4/mmm (123)
* mass density: 7.8 g cm⁻³

# SrAcIrRh

SrAcIrRh after structural relaxation (PBE, Alexandria).

a b c (Å): 5.169 5.169 5.169
angles (deg): 60.00 60.00 60.00
Fractional coordinates of all 4 atoms:
Sr (0.000, 0.000, 0.000)
Ac (0.500, 0.500, 0.500)
Ir (0.250, 0.250, 0.250)
Rh (0.750, 0.750, 0.750)

* E_tot: -5.748 eV per atom
* formation energy: -0.99 eV per formula unit
* symmetry: F-43m (216)
* mass density: 10.4 g cm⁻³

# Al2SbBr

Al2SbBr after structural relaxation (PBE, Alexandria).

a b c (Å): 3.645 3.645 7.307
angles (deg): 90.00 90.00 90.00
Fractional coordinates of all 4 atoms:
Al (0.000, 0.000, 0.211)
Al (0.000, 0.000, 0.789)
Sb (0.500, 0.500, 0.000)
Br (0.500, 0.500, 0.500)

* E_tot: -3.158 eV per atom
* ΔE to the lowest computed polymorph: 1.17 eV per formula unit
* symmetry: P4/mmm (123)
* mass density: 4.4 g cm⁻³

# Pr3Pd3Pt

Pr3Pd3Pt after structural relaxation (PBE, Alexandria).

a b c (Å): 10.092 10.092 10.092
angles (deg): 157.31 154.72 34.23
Fractional coordinates of all 7 atoms:
Pr (0.000, 0.000, 0.000)
Pr (0.368, 0.368, 0.000)
Pr (0.688, 0.188, 0.500)
Pd (0.115, 0.615, 0.500)
Pd (0.529, 0.529, 0.000)
Pd (0.840, 0.840, 0.000)
Pt (0.252, 0.752, 0.500)

* E_tot: -5.962 eV per atom
* formation energy: -5.78 eV per formula unit
* symmetry: Imm2 (44)
* mass density: 9.2 g cm⁻³

# Th4As2OsCl

Th4As2OsCl after structural relaxation (PBE, Alexandria).

a b c (Å): 7.272 4.149 7.409
angles (deg): 90.00 109.40 90.00
Fractional coordinates of all 8 atoms:
Th (0.229, 0.000, 0.234)
Th (0.240, 0.500, 0.752)
Th (0.760, 0.500, 0.248)
Th (0.771, 0.000, 0.766)
As (0.000, 0.000, 0.500)
As (0.500, 0.500, 0.500)
Os (0.000, 0.500, 0.000)
Cl (0.500, 0.000, 0.000)

* E_tot: -7.560 eV per atom
* symmetry: P2/m (10)
* mass density: 10.3 g cm⁻³

# YSiAs2Se

YSiAs2Se after structural relaxation (PBE, Alexandria).

a b c (Å): 4.790 4.790 4.919
angles (deg): 90.00 90.00 90.00
Fractional coordinates of all 5 atoms:
Y (0.000, 0.000, 0.000)
Si (0.500, 0.500, 0.500)
As (0.000, 0.500, 0.500)
As (0.500, 0.000, 0.500)
Se (0.500, 0.500, 0.000)

* E_tot: -5.099 eV per atom
* ΔE to the lowest computed polymorph: 0.00 eV per formula unit
* symmetry: P4/mmm (123)
* mass density: 5.1 g cm⁻³

# MgIn3Pt

MgIn3Pt after structural relaxation (PBE, Alexandria).

a b c (Å): 5.230 5.230 5.230
angles (deg): 90.00 90.00 90.00
Fractional coordinates of all 5 atoms:
Mg (0.000, 0.000, 0.000)
In (0.000, 0.500, 0.500)
In (0.500, 0.000, 0.500)
In (0.500, 0.500, 0.000)
Pt (0.500, 0.500, 0.500)

* E_tot: -3.241 eV per atom
* formation energy: -0.36 eV per formula unit
* ΔE to the lowest computed polymorph: 1.10 eV per formula unit
* symmetry: Pm-3m (221)
* mass density: 6.5 g cm⁻³

# BaGa4Au12

BaGa4Au12 after structural relaxation (PBE, Alexandria).

a b c (Å): 7.875 7.875 7.875
angles (deg): 109.47 109.47 109.47
Fractional coordinates of all 17 atoms:
Ba (0.000, 0.000, 0.000)
Ga (0.000, 0.000, 0.500)
Ga (0.000, 0.500, 0.000)
Ga (0.500, 0.000, 0.000)
Ga (0.500, 0.500, 0.500)
Au (0.157, 0.347, 0.504)
Au (0.157, 0.653, 0.809)
Au (0.191, 0.843, 0.347)
Au (0.347, 0.191, 0.843)
Au (0.347, 0.504, 0.157)
Au (0.496, 0.843, 0.653)
Au (0.504, 0.157, 0.347)
Au (0.653, 0.496, 0.843)
Au (0.653, 0.809, 0.157)
Au (0.809, 0.157, 0.653)
Au (0.843, 0.347, 0.191)
Au (0.843, 0.653, 0.496)

* E_tot: -3.230 eV per atom
* formation energy: -1.55 eV per formula unit
* symmetry: Im-3 (204)
* mass density: 12.3 g cm⁻³

Which of these has the highest E_tot?
Al2SbBr

Look up the E_tot of the fourth one.
-5.962 eV per atom

Which of these has the lowest E_tot?
Th4As2OsCl

Which of these has the lowest E_tot?
Th4As2OsCl